No. 1
# InGeCl

A relaxed structure of InGeCl (PBE, Alexandria via LeMat-Bulk).

Cell: 10.1703 10.1703 10.1703 Å, 160.96 151.86 34.20°
Positions (direct):
1 In 0.1587 0.1587 0.0000
2 In 0.8413 0.8413 0.0000
3 Ge 0.2538 0.0000 0.2538
4 Ge 0.7462 0.0000 0.7462
5 Cl 0.3058 0.3058 0.0000
6 Cl 0.6942 0.6942 0.0000

Summary:
Size of the total moment: 0.0 μB per cell
Calculated total energy: -0.119 Ha/atom
Density: 4.58 g cm⁻³
D(E_F): 0.375 states/eV/atom

No. 2
# FeCuAsH2

A relaxed structure of FeCuAsH2 (PBE, Alexandria via LeMat-Bulk).

Cell: 3.5185 3.5185 5.0612 Å, 90.00 90.00 90.00°
Positions (direct):
1 Fe 0.0000 0.0000 0.0000
2 Cu 0.5000 0.5000 0.0000
3 As 0.5000 0.5000 0.5000
4 H 0.0000 0.5000 0.5000
5 H 0.5000 0.0000 0.5000

Summary:
Size of the total moment: 3.4 μB per cell
Calculated total energy: -0.148 Ha/atom
Density: 5.20 g cm⁻³
D(E_F): 0.925 states/eV/atom

No. 3
# Th5Pb4

A relaxed structure of Th5Pb4 (PBE, Alexandria via LeMat-Bulk).

Cell: 9.8144 9.8144 6.6692 Å, 90.00 90.00 120.00°
Positions (direct):
1 Th 0.0000 0.2808 0.2500
2 Th 0.0000 0.7192 0.7500
3 Th 0.2808 0.0000 0.2500
4 Th 0.2808 0.2808 0.7500
5 Th 0.3333 0.6667 0.0000
6 Th 0.3333 0.6667 0.5000
7 Th 0.6667 0.3333 0.0000
8 Th 0.6667 0.3333 0.5000
9 Th 0.7192 0.0000 0.7500
10 Th 0.7192 0.7192 0.2500
11 Pb 0.0000 0.0000 0.0000
12 Pb 0.0000 0.0000 0.5000
13 Pb 0.0000 0.3794 0.7500
14 Pb 0.0000 0.6206 0.2500
15 Pb 0.3794 0.0000 0.7500
16 Pb 0.3794 0.3794 0.2500
17 Pb 0.6206 0.0000 0.2500
18 Pb 0.6206 0.6206 0.7500

Summary:
Size of the total moment: 0.0 μB per cell
Calculated total energy: -0.225 Ha/atom
ΔE_f: -0.355 eV/atom
Density: 11.87 g cm⁻³
D(E_F): 1.113 states/eV/atom

No. 4
# VSb2

A relaxed structure of VSb2 (PBE, Alexandria via LeMat-Bulk).

Cell: 5.4433 5.4433 5.4433 Å, 105.32 105.32 118.14°
Positions (direct):
1 V 0.2500 0.2500 0.0000
2 V 0.7500 0.7500 0.0000
3 Sb 0.1568 0.6568 0.8137
4 Sb 0.3432 0.1568 0.5000
5 Sb 0.6568 0.8432 0.5000
6 Sb 0.8432 0.3432 0.1863

Summary:
Size of the total moment: 0.0 μB per cell
Calculated total energy: -0.215 Ha/atom
Density: 8.02 g cm⁻³
D(E_F): 0.861 states/eV/atom

No. 5
# KZrTa2

A relaxed structure of KZrTa2 (PBE, Alexandria via LeMat-Bulk).

Cell: 11.5626 11.5626 11.5626 Å, 15.32 15.32 15.32°
Positions (direct):
1 K 0.0000 0.0000 0.0000
2 Zr 0.5000 0.5000 0.5000
3 Ta 0.2386 0.2386 0.2386
4 Ta 0.7614 0.7614 0.7614

Summary:
Size of the total moment: 0.0 μB per cell
E above lowest polymorph: 218 meV/atom
Calculated total energy: -0.279 Ha/atom
ΔE_f: 0.759 eV/atom
Density: 8.69 g cm⁻³
D(E_F): 1.226 states/eV/atom

No. 6
# AsOsBr2

A relaxed structure of AsOsBr2 (PBE, Alexandria via LeMat-Bulk).

Cell: 5.6849 5.3249 4.2068 Å, 72.15 63.07 44.78°
Positions (direct):
1 As 0.0000 0.0000 0.0000
2 Os 0.5000 0.5000 0.5000
3 Br 0.0000 0.5000 0.5000
4 Br 0.5000 0.0000 0.0000

Summary:
Size of the total moment: 0.0 μB per cell
E above lowest polymorph: 984 meV/atom
Calculated total energy: -0.137 Ha/atom
Density: 8.83 g cm⁻³
D(E_F): 0.455 states/eV/atom

Question: Which of these has the lowest density?
Answer: InGeCl

Question: Which value of calculated total energy does entry 4 give?
Answer: -0.215 Ha/atom

Question: Among the records above, which one has the highest size of the total moment?
Answer: FeCuAsH2